The following is a PBE calculation of a geometry-optimized Be2SbRh2 structure, from Alexandria via LeMat-Bulk.

a b c (Å): 6.6365 6.6365 2.9851
angles (deg): 90.00 90.00 90.00
Last column: nearest neighbours and their distance in Å.
Element x y z (fractional)
Rh  0.8354  0.3354  0.5000  6 Be 2.42-2.53
Rh  0.3354  0.1646  0.5000  6 Be 2.42-2.53
Rh  0.1646  0.6646  0.5000  6 Be 2.42-2.53
Rh  0.6646  0.8354  0.5000  6 Be 2.42-2.53
Be  0.1177  0.3823  0.0000  1 Be 2.21, 4 Rh 2.42
Be  0.3823  0.8823  0.0000  1 Be 2.21, 4 Rh 2.42
Be  0.6177  0.1177  0.0000  1 Be 2.21, 4 Rh 2.42
Be  0.8823  0.6177  0.0000  1 Be 2.21, 4 Rh 2.42
Sb  0.5000  0.5000  0.0000  4 Be 2.65, 8 Rh 2.89
Sb  0.0000  0.0000  0.0000  4 Be 2.65, 8 Rh 2.89

Summary:
Formation energy without anion corrections in eV per atom: -0.278
Total magnetic moment in μB/cell: 0.00
Calculated density in g/cm³: 8.7
Space-group type: P4/mbm
Final energy in eV per atom: -5.533